--- P ---
ScBeAl | GGA-PBE | optimized geometry Values from VASP.

```
&SYSTEM
  ibrav = 0, nat = 3, ntyp = 3
/
ATOMIC_SPECIES
Al 26.98 Al.upf
Sc 44.96 Sc.upf
Be 9.01 Be.upf
ATOMIC_POSITIONS angstrom
Al 0.0949 -0.5224 0.0924
Sc -1.6751 -2.2461 1.6040
Be -1.9453 -1.0943 -1.0390
CELL_PARAMETERS angstrom
-2.0695 0.2610 3.5997
-2.0258 -0.9867 -3.4973
0.5698 -3.1371 0.5550
```

Results
Total moment, μB/f.u.: 0.000


--- Q ---
ScBeAl | GGA-PBE | optimized geometry Values from VASP.

```
&SYSTEM
  ibrav = 0, nat = 3, ntyp = 3
/
ATOMIC_SPECIES
Sc 44.96 Sc.upf
Al 26.98 Al.upf
Be 9.01 Be.upf
ATOMIC_POSITIONS angstrom
Sc 0.0000 0.0000 0.0000
Al 2.1991 1.0487 4.4871
Be 3.2987 1.5731 6.7306
CELL_PARAMETERS angstrom
-0.3219 -0.4377 4.1334
3.4284 -0.5192 2.3144
1.2918 3.0543 2.5264
```

Results
Total moment, μB/f.u.: 0.000


Stability check: which of them is least stable? Q.


--- P ---
ScBe2Al2 | GGA-PBE | optimized geometry Values from VASP.

```
&SYSTEM
  ibrav = 0, nat = 10, ntyp = 3
/
ATOMIC_SPECIES
Be 9.01 Be.upf
Al 26.98 Al.upf
Sc 44.96 Sc.upf
ATOMIC_POSITIONS angstrom
Be 1.2037 4.8442 1.3375
Al 4.5890 0.9485 0.0000
Be 4.8442 6.0773 1.3375
Be 2.4368 1.2037 1.3375
Al 0.9485 2.6920 0.0000
Be 6.0773 2.4368 1.3375
Sc 3.6405 3.6405 0.0000
Al 2.6920 6.3325 0.0000
Al 6.3325 4.5890 0.0000
Sc 0.0000 0.0000 0.0000
CELL_PARAMETERS angstrom
7.2810 0.0000 0.0000
0.0000 7.2810 0.0000
0.0000 0.0000 2.6749
```

Results
Total moment, μB/f.u.: 0.000


--- Q ---
ScBe2Al2 | GGA-PBE | optimized geometry Values from VASP.

```
&SYSTEM
  ibrav = 0, nat = 5, ntyp = 3
/
ATOMIC_SPECIES
Al 26.98 Al.upf
Sc 44.96 Sc.upf
Be 9.01 Be.upf
ATOMIC_POSITIONS angstrom
Al 3.2434 2.4058 5.3109
Sc 0.0000 0.0000 0.0000
Be 2.8460 0.4709 4.0725
Be 1.4140 2.7604 3.9100
Al 1.0165 0.8255 2.6716
CELL_PARAMETERS angstrom
-1.4661 2.4598 2.5371
1.3979 -2.1191 2.8623
4.3281 2.8906 2.5831
```

Results
Total moment, μB/f.u.: 0.000


Stability check: which of them is least stable? P.


--- P ---
ScBeAl3 | GGA-PBE | optimized geometry Values from VASP.

```
&SYSTEM
  ibrav = 0, nat = 5, ntyp = 3
/
ATOMIC_SPECIES
Al 26.98 Al.upf
Be 9.01 Be.upf
Sc 44.96 Sc.upf
ATOMIC_POSITIONS angstrom
Al 0.0000 2.2167 0.0000
Al 2.2167 0.0000 0.0000
Be 0.0000 0.0000 0.0000
Sc 2.2167 2.2167 2.2167
Al 0.0000 0.0000 2.2167
CELL_PARAMETERS angstrom
4.4333 0.0000 0.0000
0.0000 4.4333 0.0000
0.0000 0.0000 4.4333
```

Results
Total moment, μB/f.u.: 0.000


--- Q ---
ScBeAl3 | GGA-PBE | optimized geometry Values from VASP.

```
&SYSTEM
  ibrav = 0, nat = 5, ntyp = 3
/
ATOMIC_SPECIES
Be 9.01 Be.upf
Al 26.98 Al.upf
Sc 44.96 Sc.upf
ATOMIC_POSITIONS angstrom
Be 2.6078 2.6078 2.6078
Al 0.0000 0.0000 2.6078
Al 2.6078 0.0000 0.0000
Sc 0.0000 0.0000 0.0000
Al 0.0000 2.6078 0.0000
CELL_PARAMETERS angstrom
5.2156 0.0000 0.0000
0.0000 5.2156 0.0000
0.0000 0.0000 5.2156
```

Results
Total moment, μB/f.u.: 0.016


Stability check: which of them is least stable? Q.


--- P ---
Be2AlSe | GGA-PBE | optimized geometry Values from VASP.

```
&SYSTEM
  ibrav = 0, nat = 4, ntyp = 3
/
ATOMIC_SPECIES
Se 78.96 Se.upf
Be 9.01 Be.upf
Al 26.98 Al.upf
ATOMIC_POSITIONS angstrom
Se 1.5543 -2.1172 -0.5730
Be -0.2320 -2.8095 -1.7167
Al 2.9339 -3.8832 1.1019
Be -0.4539 -2.2421 0.6362
CELL_PARAMETERS angstrom
-1.1723 -1.6219 2.8127
-1.0159 -2.6253 -1.9372
4.3323 -3.6615 -0.3057
```

Results
Total moment, μB/f.u.: 0.000


--- Q ---
Be2AlSe | GGA-PBE | optimized geometry Values from VASP.

```
&SYSTEM
  ibrav = 0, nat = 4, ntyp = 3
/
ATOMIC_SPECIES
Be 9.01 Be.upf
Se 78.96 Se.upf
Al 26.98 Al.upf
ATOMIC_POSITIONS angstrom
Be 0.0000 1.0097 2.8501
Se 1.6707 0.9430 1.2746
Al 1.6707 2.8289 3.8237
Be 0.0000 1.0640 4.9111
CELL_PARAMETERS angstrom
3.3414 0.0000 0.0000
0.0000 3.5842 -0.1139
0.0000 0.1877 5.2121
```

Results
Total moment, μB/f.u.: 0.000


Stability check: which of them is least stable? Q.